Version A
DFT (PBE+U) results for a geometry-optimized Nb2Ni2O structure.

Values from the calculation:
total magnetization: 0.00 μB per cell
volume: 134 Å³/cell

Cell and atoms, written as extended XYZ:
```
10
Lattice="-1.573 5.066 -0.076 -4.625 -1.404 2.186 1.859 0.643 4.346" Properties=species:S:1:pos:R:3 pbc="T T T"
O -3.099 1.831 1.055
Ni -4.428 3.214 1.419
Ni -1.888 3.184 0.337
Nb -2.528 0.296 3.656
O 0.000 0.000 0.000
Ni -4.310 0.478 1.773
Ni -1.770 0.448 0.691
Nb -1.812 4.009 2.800
Nb -3.919 2.645 3.904
Nb -0.421 1.660 2.553
```

Version B
DFT (PBE+U) results for a geometry-optimized Nb2Ni2O structure.

Values from the calculation:
total magnetization: 0.00 μB per cell
volume: 78 Å³/cell

Cell and atoms, written as extended XYZ:
```
5
Lattice="4.251 0.000 0.000 0.000 4.251 0.000 2.126 2.126 4.330" Properties=species:S:1:pos:R:3 pbc="T T T"
Nb 2.126 4.251 2.165
Ni 2.126 2.126 1.033
Nb 4.251 2.126 2.165
Ni 4.251 4.251 3.296
O 0.000 0.000 0.000
```

Relative energies, meV per atom: version A 0; version B 548.

Version A
DFT (PBE+U) results for a geometry-optimized Nb2NiO6 structure.

Values from the calculation:
total magnetization: 4.00 μB per cell
volume: 214 Å³/cell

Cell and atoms, written as extended XYZ:
```
18
Lattice="5.700 0.012 -0.010 1.773 5.412 -0.006 -2.365 -1.711 6.940" Properties=species:S:1:pos:R:3 pbc="T T T"
O 1.875 2.978 3.466
Ni 0.060 0.018 0.005
O 2.150 1.564 5.999
O 0.505 0.343 3.760
O 1.686 -1.266 5.717
Nb 0.346 0.343 5.880
Nb 3.247 2.504 4.734
O 2.933 2.100 0.855
O 4.733 3.420 3.263
O -0.690 1.970 5.712
O -1.098 -0.818 5.458
Nb 4.544 3.269 1.332
O 6.213 4.496 1.394
Ni 1.669 1.186 2.251
O 5.707 1.717 1.131
O 3.442 0.852 3.469
Nb -1.060 -0.675 3.300
O 3.421 4.854 1.136
```

Version B
DFT (PBE+U) results for a geometry-optimized Nb2NiO6 structure.

Values from the calculation:
total magnetization: 4.00 μB per cell
volume: 217 Å³/cell

Cell and atoms, written as extended XYZ:
```
18
Lattice="5.675 -0.065 -0.263 1.750 5.399 -0.263 -0.249 -0.179 7.087" Properties=species:S:1:pos:R:3 pbc="T T T"
O 1.565 1.124 0.646
Nb 0.000 0.000 0.000
Nb -0.124 -0.089 3.543
Ni 1.593 1.144 5.494
O 2.891 3.549 3.280
O 5.743 4.125 3.223
O 4.392 0.499 1.232
Ni 5.584 4.011 1.066
O 1.434 1.030 3.337
O 3.048 2.190 5.709
O 4.286 1.606 3.280
O 1.875 4.003 1.232
Nb 2.913 2.093 1.854
Nb 4.264 3.063 4.706
O 4.129 2.966 0.851
O 5.612 4.031 5.914
O 2.785 4.657 5.328
O 5.302 1.153 5.328
```

Relative energies, meV per atom: version A 0; version B 278.

Version A
DFT (PBE+U) results for a geometry-optimized NbNiPO2 structure.

Values from the calculation:
total magnetization: 1.87 μB per cell
volume: 80 Å³/cell

Cell and atoms, written as extended XYZ:
```
5
Lattice="3.871 0.000 0.000 0.000 3.871 0.000 0.000 0.000 5.332" Properties=species:S:1:pos:R:3 pbc="T T T"
O 1.936 0.000 0.000
P 0.000 0.000 2.666
Ni 1.936 1.936 2.666
O 0.000 1.936 0.000
Nb 0.000 0.000 0.000
```

Version B
DFT (PBE+U) results for a geometry-optimized NbNiPO2 structure.

Values from the calculation:
total magnetization: 1.40 μB per cell
volume: 61 Å³/cell

Cell and atoms, written as extended XYZ:
```
5
Lattice="-0.898 -0.037 3.613 -3.589 -0.423 -0.896 0.498 -4.398 0.079" Properties=species:S:1:pos:R:3 pbc="T T T"
Ni 0.000 0.000 0.000
O -0.449 -0.018 1.807
P 0.249 -2.199 0.040
O -1.794 -0.211 -0.448
Nb -1.994 -2.429 1.398
```

Relative energies, meV per atom: version A 0; version B 863.